Entry 1:
An optimized crystal structure of Li3Zr3AlSe8, computed with GGA-PBE.

Geometry as CIF:
```
data_Li3Zr3AlSe8
_symmetry_space_group_name_H-M 'R -3 m'
_symmetry_Int_Tables_number 166
_symmetry_space_group_name_Hall '-R 3 2"'
_cell_length_a 7.5925
_cell_length_b 7.5925
_cell_length_c 19.6595
_cell_angle_alpha 90.00
_cell_angle_beta 90.00
_cell_angle_gamma 120.00
loop_
_atom_site_label
_atom_site_type_symbol
_atom_site_fract_x
_atom_site_fract_y
_atom_site_fract_z
Li1 Li 0.0000 0.5000 0.0000
Zr1 Zr 0.0000 0.5000 0.5000
Al1 Al 0.0000 0.0000 0.5000
Se1 Se 0.0000 0.0000 0.2507
Se2 Se 0.0138 0.5069 0.2455
```

## Properties
total magnetization = 0.0 μB per cell
uncorrected formation energy = -1.237 eV/atom
uncorrected energy = -5.438 eV/atom


Entry 2:
An optimized crystal structure of LiAlSi2, computed with GGA-PBE.

Geometry as CIF:
```
data_LiAlSi2
_symmetry_space_group_name_H-M 'P 1 m 1'
_symmetry_Int_Tables_number 6
_symmetry_space_group_name_Hall 'P -2y'
_cell_length_a 2.685
_cell_length_b 4.332
_cell_length_c 5.299
_cell_angle_alpha 90.00
_cell_angle_beta 103.55
_cell_angle_gamma 90.00
loop_
_atom_site_label
_atom_site_type_symbol
_atom_site_fract_x
_atom_site_fract_y
_atom_site_fract_z
Li1 Li 0.000 0.000 0.000
Al1 Al 0.342 0.500 0.682
Si1 Si 0.587 0.500 0.188
Si2 Si 0.729 0.000 0.469
```

## Properties
total magnetization = 0.0 μB per cell
uncorrected formation energy = 0.052 eV/atom
uncorrected energy = -4.074 eV/atom


Entry 3:
An optimized crystal structure of LiAlSi, computed with GGA-PBE.

Geometry as CIF:
```
data_LiAlSi
_symmetry_space_group_name_H-M 'P -6 m 2'
_symmetry_Int_Tables_number 187
_symmetry_space_group_name_Hall 'P -6 2'
_cell_length_a 4.1861
_cell_length_b 4.1861
_cell_length_c 6.7456
_cell_angle_alpha 90.00
_cell_angle_beta 90.00
_cell_angle_gamma 120.00
loop_
_atom_site_label
_atom_site_type_symbol
_atom_site_fract_x
_atom_site_fract_y
_atom_site_fract_z
Li1 Li 0.0000 0.0000 0.0000
Li2 Li 0.0000 0.0000 0.5000
Al1 Al 0.6667 0.3333 0.2024
Si1 Si 0.3333 0.6667 0.3137
```

## Properties
total magnetization = 0.0 μB per cell
uncorrected formation energy = -0.143 eV/atom
uncorrected energy = -3.836 eV/atom


Entry 4:
An optimized crystal structure of LiAlSi2, computed with GGA-PBE.

Geometry as CIF:
```
data_LiAlSi2
_symmetry_space_group_name_H-M 'I m m 2'
_symmetry_Int_Tables_number 44
_symmetry_space_group_name_Hall 'I 2 -2'
_cell_length_a 3.711
_cell_length_b 3.859
_cell_length_c 8.238
_cell_angle_alpha 90.00
_cell_angle_beta 90.00
_cell_angle_gamma 90.00
loop_
_atom_site_label
_atom_site_type_symbol
_atom_site_fract_x
_atom_site_fract_y
_atom_site_fract_z
Li1 Li 0.000 0.000 0.000
Al1 Al 0.000 0.500 0.246
Si1 Si 0.000 0.000 0.493
Si2 Si 0.000 0.500 0.751
```

## Properties
total magnetization = 0.0 μB per cell
uncorrected formation energy = 0.056 eV/atom
uncorrected energy = -4.070 eV/atom


Entry 5:
An optimized crystal structure of LiAlSi2, computed with GGA-PBE.

Geometry as CIF:
```
data_LiAlSi2
_symmetry_space_group_name_H-M 'P m m m'
_symmetry_Int_Tables_number 47
_symmetry_space_group_name_Hall '-P 2 2'
_cell_length_a 2.634
_cell_length_b 4.538
_cell_length_c 5.212
_cell_angle_alpha 90.00
_cell_angle_beta 90.00
_cell_angle_gamma 90.00
loop_
_atom_site_label
_atom_site_type_symbol
_atom_site_fract_x
_atom_site_fract_y
_atom_site_fract_z
Li1 Li 0.000 0.000 0.000
Al1 Al 0.500 0.000 0.500
Si1 Si 0.500 0.500 0.240
```

## Properties
total magnetization = 0.0 μB per cell
uncorrected formation energy = 0.033 eV/atom
uncorrected energy = -4.093 eV/atom


Entry 6:
An optimized crystal structure of LiAl2Si, computed with GGA-PBE.

Geometry as CIF:
```
data_LiAl2Si
_symmetry_space_group_name_H-M 'C 1 2/m 1'
_symmetry_Int_Tables_number 12
_symmetry_space_group_name_Hall '-C 2y'
_cell_length_a 5.497
_cell_length_b 9.569
_cell_length_c 2.740
_cell_angle_alpha 90.00
_cell_angle_beta 118.86
_cell_angle_gamma 90.00
loop_
_atom_site_label
_atom_site_type_symbol
_atom_site_fract_x
_atom_site_fract_y
_atom_site_fract_z
Li1 Li 0.000 0.000 0.000
Al1 Al 0.250 0.250 0.000
Si1 Si 0.000 0.500 0.000
```

## Properties
total magnetization = 0.0 μB per cell
uncorrected formation energy = 0.022 eV/atom
uncorrected energy = -3.683 eV/atom


Q: Look up the uncorrected formation energy of the fourth one.
A: 0.056 eV/atom


Q: Look up the total magnetization of the second one.
A: 0.0 μB per cell